[1]
First-principles (PBE) data for a relaxed structure of CoPS, as listed in Alexandria via LeMat-Bulk.

Cell lengths 3.3193, 2.6855, 5.0426 Å; angles 90.00, 104.71, 90.00 degrees
With the nearest neighbours (Å) after each atom.
Space group Pm (No. 6)
One atom of each set of equivalent atoms:
Co 0.0000 0.0000 0.0000  2 S 2.22, 4 P 2.31-2.36
P 0.4368 0.5000 0.8055  4 Co 2.31-2.36, 1 S 2.33
S 0.0320 0.5000 0.3543  2 Co 2.22, 1 P 2.33

Properties
The energy relative to the elements, uncorrected comes out at 0.018 eV per atom. Its total magnetization is 0.00 μB per formula unit.

---

[2]
First-principles (PBE) data for a relaxed structure of CoPS, as listed in Alexandria via LeMat-Bulk.

Cell lengths 8.7888, 10.8565, 6.8313 Å; angles 90.00, 90.00, 90.00 degrees
With the nearest neighbours (Å) after each atom.
Space group Fdd2 (No. 43)
One atom of each set of equivalent atoms:
Co 0.0033 0.2460 0.0000  3 S 2.21-2.23, 3 P 2.26-2.28
P 0.0975 0.0628 0.4993  1 P 2.19, 3 Co 2.26-2.28
S 0.1065 0.0606 0.0004  3 Co 2.21-2.23, 1 S 2.29

Properties
The energy relative to the elements, uncorrected comes out at -0.439 eV per atom. Its total magnetization is 0.00 μB per formula unit.